First-principles (PBE-GGA) data for In3SnS6 after structural relaxation, as listed in Alexandria via LeMat-Bulk.

Computed properties:
- Formation energy (no corrections): -0.332 eV/atom
- M_tot: 0.000 μB/f.u.
- Energy above the lowest structure with this stoichiometry: 87.9 meV/atom
- Density of states at the Fermi level: 4.063 states/eV per cell

Cell lengths 8.776, 8.776, 6.516 Å; angles 90.00, 90.00, 105.89 degrees
Fractional positions:
In1 0.078 0.922 0.500
In2 0.226 0.391 0.360
In3 0.391 0.226 0.860
In4 0.609 0.774 0.360
In5 0.774 0.609 0.860
In6 0.922 0.078 0.000
Sn1 0.293 0.707 0.831
Sn2 0.707 0.293 0.331
S1 0.040 0.626 0.651
S2 0.115 0.207 0.678
S3 0.207 0.115 0.178
S4 0.306 0.694 0.200
S5 0.374 0.960 0.651
S6 0.449 0.551 0.658
S7 0.551 0.449 0.158
S8 0.626 0.040 0.151
S9 0.694 0.306 0.700
S10 0.793 0.885 0.678
S11 0.885 0.793 0.178
S12 0.960 0.374 0.151